1.
# NdCdAg3

An optimized crystal structure of NdCdAg3 (PBE, Alexandria).

Cell and atoms, written as extended XYZ:
```
10
Lattice="5.698 0.000 0.000 0.000 6.905 0.000 0.000 -3.453 5.979" Properties=species:S:1:pos:R:3 pbc="T T T"
Nd 1.425 0.000 3.986
Nd 4.273 3.453 1.994
Cd 2.849 0.000 0.000
Cd 0.000 0.000 0.000
Ag 4.274 1.379 4.782
Ag 1.424 4.831 1.197
Ag 1.424 2.074 1.197
Ag 4.274 -1.379 4.782
Ag 1.424 3.452 3.585
Ag 4.273 0.000 2.394
```

Values from the calculation:
Calculated density   8.19 g cm⁻³
M_tot   0.00 μB per formula unit
Formation enthalpy at 0 K   -0.089 eV/atom
Energy above the most stable polymorph in this dataset   110 meV/atom
E_tot   -2.936 eV per atom

---

2.
# ScIn2I

An optimized crystal structure of ScIn2I (PBE, Alexandria).

Cell and atoms, written as extended XYZ:
```
8
Lattice="-1.876 0.827 -9.096 -8.764 -2.780 1.555 -6.123 1.788 -3.354" Properties=species:S:1:pos:R:3 pbc="T T T"
Sc -10.103 -0.984 -2.785
Sc -5.320 -0.976 -3.771
I 0.000 0.000 0.000
I -6.659 0.819 -8.111
In -7.345 -1.142 -1.499
In -9.059 0.457 -5.259
In -13.425 -0.217 -9.199
In -3.697 0.571 -5.834
```

Values from the calculation:
Calculated density   5.27 g cm⁻³
E_form (uncorrected)   0.038 eV per atom
M_tot   0.00 μB per formula unit
Energy above the most stable polymorph in this dataset   0 meV/atom
E_tot   -3.302 eV per atom